The following is a DFT calculation (PBE with a Hubbard U) of crystalline TmMnPbF6 at its relaxed geometry.

Lattice parameters (Å, degrees): 5.7886 5.7886 11.8996 90.00 90.00 120.00
Space group P-31c (No. 163)
Unique sites:
Tm  0.3333  0.6667  0.2500 x2
Mn  0.3333  0.6667  0.7500 x2
Pb  0.0000  0.0000  0.0000 x2
F  0.0006  0.3638  0.1557 x12

Properties
density of states at the Fermi level = 5.802 states/eV/cell
calculated total energy = -106.0 eV per cell
magnetic moment = 0.6498 μB/atom
crystal system = trigonal